(1)
K5Rb2Bi2: optimized geometry, PBE.

Cell and atoms, written as POSCAR:
```
K5Rb2Bi2
1.0
9.630 -2.904 0.000
9.630 2.904 0.000
-5.460 0.000 9.353
K Rb Bi
5 2 2
direct
0.000 0.000 0.000
0.143 0.143 0.665
0.335 0.335 0.031
0.665 0.665 0.969
0.857 0.857 0.335
0.346 0.346 0.629
0.654 0.654 0.371
0.218 0.218 0.213
0.782 0.782 0.787
```

* crystal system: monoclinic
* total DFT energy (no corrections): -1.964 eV/atom
* calculated formation energy: -0.28 eV per atom


(2)
KRbBi2: optimized geometry, PBE.

Cell and atoms, written as POSCAR:
```
KRbBi2
1.0
4.801 0.000 0.000
0.000 4.801 0.000
0.000 0.000 7.608
K Rb Bi
1 1 2
direct
0.000 0.000 0.000
0.000 0.000 0.500
0.500 0.500 0.190
0.500 0.500 0.810
```

* crystal system: tetragonal
* energy relative to the lowest polymorph listed for this composition: 87 meV per atom
* total DFT energy (no corrections): -2.697 eV/atom
* calculated formation energy: -0.24 eV per atom


(3)
KRbBi4: optimized geometry, PBE.

Cell and atoms, written as POSCAR:
```
KRbBi4
1.0
0.000 4.845 4.845
4.845 0.000 4.845
4.845 4.845 0.000
K Rb Bi
1 1 4
direct
0.000 0.000 0.000
0.750 0.750 0.750
0.375 0.375 0.375
0.375 0.375 0.875
0.375 0.875 0.375
0.875 0.375 0.375
```

* crystal system: cubic
* total DFT energy (no corrections): -3.183 eV/atom
* calculated formation energy: -0.25 eV per atom


What did the second record say?
KRbBi2: optimized geometry, PBE.

Cell and atoms, written as POSCAR:
```
KRbBi2
1.0
4.801 0.000 0.000
0.000 4.801 0.000
0.000 0.000 7.608
K Rb Bi
1 1 2
direct
0.000 0.000 0.000
0.000 0.000 0.500
0.500 0.500 0.190
0.500 0.500 0.810
```

* crystal system: tetragonal
* energy relative to the lowest polymorph listed for this composition: 87 meV per atom
* total DFT energy (no corrections): -2.697 eV/atom
* calculated formation energy: -0.24 eV per atom